*i*
VASP calculation (GGA-PBEsol) on an optimized crystal structure of LiScSn3.

Computed properties:
mass density = 5.8 g/cm3
total moment = 0.00 Bohr magnetons per cell

```
data_LiScSn3
_chemical_formula_sum 'Li1 Sc1 Sn3'
_space_group_name_H-M_alt 'P m -3 m'
_space_group_IT_number 221
_space_group_name_Hall '-P 4 2 3'
_cell_length_a 4.888
_cell_length_b 4.888
_cell_length_c 4.888
_cell_angle_alpha 90.00
_cell_angle_beta 90.00
_cell_angle_gamma 90.00
loop_
_atom_site_label
_atom_site_fract_x
_atom_site_fract_y
_atom_site_fract_z
Li1 0.000 0.000 0.000
Sc1 0.500 0.500 0.500
Sn1 0.000 0.000 0.500
```


*ii*
VASP calculation (GGA-PBEsol) on an optimized crystal structure of LiScSn3.

Computed properties:
mass density = 4.2 g/cm3
total moment = 0.00 Bohr magnetons per cell

```
data_LiScSn3
_chemical_formula_sum 'Li1 Sc1 Sn3'
_space_group_name_H-M_alt 'P m -3 m'
_space_group_IT_number 221
_space_group_name_Hall '-P 4 2 3'
_cell_length_a 5.438
_cell_length_b 5.438
_cell_length_c 5.438
_cell_angle_alpha 90.00
_cell_angle_beta 90.00
_cell_angle_gamma 90.00
loop_
_atom_site_label
_atom_site_fract_x
_atom_site_fract_y
_atom_site_fract_z
Li1 0.000 0.000 0.000
Sc1 0.500 0.500 0.500
Sn1 0.000 0.500 0.500
```


Stability check: which of them is most stable? *i*.


*i*
VASP calculation (GGA-PBEsol) on an optimized crystal structure of SrLi2Sc.

Computed properties:
mass density = 2.2 g/cm3
total moment = 0.00 Bohr magnetons per cell

```
data_SrLi2Sc
_chemical_formula_sum 'Sr1 Li2 Sc1'
_space_group_name_H-M_alt 'P 4/m m m'
_space_group_IT_number 123
_space_group_name_Hall '-P 4 2'
_cell_length_a 3.757
_cell_length_b 3.757
_cell_length_c 7.719
_cell_angle_alpha 90.00
_cell_angle_beta 90.00
_cell_angle_gamma 90.00
loop_
_atom_site_label
_atom_site_fract_x
_atom_site_fract_y
_atom_site_fract_z
Sr1 0.000 0.000 0.000
Li1 0.500 0.500 0.296
Sc1 0.000 0.000 0.500
```


*ii*
VASP calculation (GGA-PBEsol) on an optimized crystal structure of SrLi2Sc.

Computed properties:
mass density = 2.2 g/cm3
total moment = 0.00 Bohr magnetons per cell

```
data_SrLi2Sc
_chemical_formula_sum 'Sr4 Li8 Sc4'
_space_group_name_H-M_alt 'F m -3 m'
_space_group_IT_number 225
_space_group_name_Hall '-F 4 2 3'
_cell_length_a 7.605
_cell_length_b 7.605
_cell_length_c 7.605
_cell_angle_alpha 90.00
_cell_angle_beta 90.00
_cell_angle_gamma 90.00
loop_
_atom_site_label
_atom_site_fract_x
_atom_site_fract_y
_atom_site_fract_z
Sr1 0.000 0.000 0.000
Li1 0.250 0.250 0.250
Sc1 0.000 0.000 0.500
```


*iii*
VASP calculation (GGA-PBEsol) on an optimized crystal structure of SrLi2Sc.

Computed properties:
mass density = 2.2 g/cm3
total moment = 2.06 Bohr magnetons per cell

```
data_SrLi2Sc
_chemical_formula_sum 'Sr2 Li4 Sc2'
_space_group_name_H-M_alt 'I -4 m 2'
_space_group_IT_number 119
_space_group_name_Hall 'I -4 -2'
_cell_length_a 4.582
_cell_length_b 4.582
_cell_length_c 10.693
_cell_angle_alpha 90.00
_cell_angle_beta 90.00
_cell_angle_gamma 90.00
loop_
_atom_site_label
_atom_site_fract_x
_atom_site_fract_y
_atom_site_fract_z
Sr1 0.000 0.000 0.000
Li1 0.000 0.000 0.500
Li2 0.000 0.500 0.250
Sc1 0.000 0.500 0.750
```


Stability check: which of them is most stable? *i*.


*i*
VASP calculation (GGA-PBEsol) on an optimized crystal structure of SrLiSc2.

Computed properties:
mass density = 2.7 g/cm3
total moment = 0.54 Bohr magnetons per cell

```
data_SrLiSc2
_chemical_formula_sum 'Sr1 Li1 Sc2'
_space_group_name_H-M_alt 'P 4 m m'
_space_group_IT_number 99
_space_group_name_Hall 'P 4 -2'
_cell_length_a 3.550
_cell_length_b 3.550
_cell_length_c 8.938
_cell_angle_alpha 90.00
_cell_angle_beta 90.00
_cell_angle_gamma 90.00
loop_
_atom_site_label
_atom_site_fract_x
_atom_site_fract_y
_atom_site_fract_z
Sr1 0.000 0.000 0.000
Li1 0.500 0.500 0.287
Sc1 0.000 0.000 0.487
Sc2 0.500 0.500 0.696
```


*ii*
VASP calculation (GGA-PBEsol) on an optimized crystal structure of SrLiSc2.

Computed properties:
mass density = 2.8 g/cm3
total moment = 0.00 Bohr magnetons per cell

```
data_SrLiSc2
_chemical_formula_sum 'Sr1 Li1 Sc2'
_space_group_name_H-M_alt 'P m m m'
_space_group_IT_number 47
_space_group_name_Hall '-P 2 2'
_cell_length_a 3.297
_cell_length_b 5.384
_cell_length_c 6.213
_cell_angle_alpha 90.00
_cell_angle_beta 90.00
_cell_angle_gamma 90.00
loop_
_atom_site_label
_atom_site_fract_x
_atom_site_fract_y
_atom_site_fract_z
Sr1 0.000 0.000 0.000
Li1 0.000 0.000 0.500
Sc1 0.500 0.500 0.264
```


Stability check: which of them is most stable? *i*.


*i*
VASP calculation (GGA-PBEsol) on an optimized crystal structure of LiScTa2.

Computed properties:
mass density = 9.8 g/cm3
total moment = 0.00 Bohr magnetons per cell

```
data_LiScTa2
_chemical_formula_sum 'Li1 Sc1 Ta2'
_space_group_name_H-M_alt 'P 4/m m m'
_space_group_IT_number 123
_space_group_name_Hall '-P 4 2'
_cell_length_a 4.890
_cell_length_b 4.890
_cell_length_c 2.937
_cell_angle_alpha 90.00
_cell_angle_beta 90.00
_cell_angle_gamma 90.00
loop_
_atom_site_label
_atom_site_fract_x
_atom_site_fract_y
_atom_site_fract_z
Li1 0.000 0.000 0.000
Sc1 0.500 0.500 0.000
Ta1 0.000 0.500 0.500
```


*ii*
VASP calculation (GGA-PBEsol) on an optimized crystal structure of LiScTa2.

Computed properties:
mass density = 9.2 g/cm3
total moment = 0.00 Bohr magnetons per cell

```
data_LiScTa2
_chemical_formula_sum 'Li4 Sc4 Ta8'
_space_group_name_H-M_alt 'I -4 2 d'
_space_group_IT_number 122
_space_group_name_Hall 'I -4 2bw'
_cell_length_a 3.820
_cell_length_b 3.820
_cell_length_c 20.459
_cell_angle_alpha 90.00
_cell_angle_beta 90.00
_cell_angle_gamma 90.00
loop_
_atom_site_label
_atom_site_fract_x
_atom_site_fract_y
_atom_site_fract_z
Li1 0.000 0.000 0.000
Sc1 0.000 0.000 0.500
Ta1 0.249 0.750 0.625
```


Stability check: which of them is most stable? *i*.